1.
# Ag2WBr

Ag2WBr after structural relaxation (PBE, the Alexandria database).

As for the symmetry: Pmmm, No. 47. The calculation puts the energy relative to the elements, uncorrected at 245 kJ/mol of formula units. The total energy is -4.45 eV/atom. The calculation puts the total magnetization at 0.00 μB/f.u. The calculation puts the density of states at the Fermi level at 3.68 states/eV/f.u. For the energy above the most stable polymorph in this dataset, the calculation gives 183 meV/atom.

Lattice parameters (Å, degrees): 2.843 2.947 9.306 90.00 90.00 90.00
Fractional coordinates of all 4 atoms:
W 0.500 0.500 0.750
Ag 0.000 0.000 0.526
Ag 0.000 0.000 0.974
Br 0.500 0.500 0.250

2.
# NdTlCu

NdTlCu after structural relaxation (PBE, the Alexandria database).

The formation energy comes out at -0.165 eV/atom. As for the symmetry: C2/m, No. 12. The total energy is -3.91 eV/atom. The calculation puts the total magnetization at 0.00 μB/f.u. The calculation puts the density of states at the Fermi level at 3.28 states/eV/f.u.

Lattice parameters (Å, degrees): 4.685 4.692 8.363 106.25 90.00 119.95
Fractional coordinates of all 6 atoms:
Nd 0.255 0.509 0.765
Nd 0.745 0.491 0.235
Tl 0.500 0.000 0.500
Cu 0.128 0.257 0.387
Cu 0.872 0.743 0.613
Tl 0.000 0.000 0.000

3.
# ZnTcS

ZnTcS after structural relaxation (PBE, the Alexandria database).

As for the symmetry: P-6m2, No. 187. The calculation puts the energy relative to the elements, uncorrected at 0 kJ/mol of formula units. The total energy is -5.26 eV/atom. The calculation puts the total magnetization at 0.30 μB/f.u. The calculation puts the density of states at the Fermi level at 1.20 states/eV/f.u.

Lattice parameters (Å, degrees): 2.972 2.972 11.923 90.00 90.00 120.00
Last column: magnetic moment on the atom in μB.
Fractional coordinates of all 6 atoms:
Tc 0.445 0.889 0.500  0.57
S 0.111 0.222 0.856  0.00
S 0.111 0.222 0.144  0.00
Zn 0.778 0.556 0.329  0.00
Zn 0.778 0.556 0.671  0.00
Tc 0.444 0.888 0.000  -0.01

4.
# La4Tl2Os

La4Tl2Os after structural relaxation (PBE, the Alexandria database).

The formation energy comes out at -0.303 eV/atom. As for the symmetry: C2/m, No. 12. The total energy is -5.40 eV/atom. The calculation puts the total magnetization at 0.00 μB/f.u. The calculation puts the density of states at the Fermi level at 8.18 states/eV/f.u.

Lattice parameters (Å, degrees): 4.834 6.433 8.126 76.59 72.70 67.93
Fractional coordinates of all 7 atoms:
Tl 0.347 0.640 0.666
La 0.666 0.722 0.946
Os 0.000 0.000 0.000
La 0.930 0.793 0.346
La 0.070 0.207 0.654
Tl 0.653 0.360 0.334
La 0.334 0.278 0.054

5.
# SrNiTe

SrNiTe after structural relaxation (PBE, the Alexandria database).

As for the symmetry: P-1, No. 2. The calculation puts the energy relative to the elements, uncorrected at -218 kJ/mol of formula units. The total energy is -4.29 eV/atom. The calculation puts the total magnetization at 0.00 μB/f.u. The calculation puts the density of states at the Fermi level at 1.81 states/eV/f.u.

Lattice parameters (Å, degrees): 5.992 4.236 6.528 71.08 98.28 89.92
Fractional coordinates of all 6 atoms:
Ni 0.445 0.517 0.485
Sr 0.852 0.622 0.276
Te 0.312 0.118 0.282
Ni 0.652 0.954 0.611
Sr 0.244 0.848 0.819
Te 0.785 0.352 0.813

6.
# YMnS2

YMnS2 after structural relaxation (PBE, the Alexandria database).

As for the symmetry: R-3m, No. 166. The calculation puts the energy relative to the elements, uncorrected at -429 kJ/mol of formula units. The total energy is -7.08 eV/atom. The calculation puts the total magnetization at 4.01 μB/f.u. The calculation puts the density of states at the Fermi level at 1.53 states/eV/f.u. For the energy above the most stable polymorph in this dataset, the calculation gives 0 meV/atom.

Lattice parameters (Å, degrees): 7.766 7.766 7.766 30.11 30.11 30.11
Last column: magnetic moment on the atom in μB.
Fractional coordinates of all 4 atoms:
S 0.102 0.102 0.102  -0.01
Mn 0.000 0.000 0.000  3.85
S 0.898 0.898 0.898  -0.01
Y 0.500 0.500 0.500  -0.01